Version one
# Pm7Nd12Cd (PBE, relaxed)
data_Pm7Nd12Cd
_chemical_formula_sum 'Pm14 Nd24 Cd2'
_symmetry_space_group_name_H-M 'I m -3'
_symmetry_Int_Tables_number 204
_symmetry_space_group_name_Hall '-I 2 2 3'
_cell_length_a 11.6225
_cell_length_b 11.6225
_cell_length_c 11.6225
_cell_angle_alpha 90.00
_cell_angle_beta 90.00
_cell_angle_gamma 90.00
loop_
_atom_site_label
_atom_site_type_symbol
_atom_site_fract_x
_atom_site_fract_y
_atom_site_fract_z
Pm1 Pm 0.0000 0.0000 0.5000
Pm2 Pm 0.2500 0.2500 0.2500
Nd1 Nd 0.0000 0.2424 0.2437
Cd1 Cd 0.0000 0.0000 0.0000
# Fermi-level density of states in states/eV/cell: 53.08

Version two
# Pm7Nd12Cd (PBE, relaxed)
data_Pm7Nd12Cd
_chemical_formula_sum 'Pm21 Nd36 Cd3'
_symmetry_space_group_name_H-M 'R -3'
_symmetry_Int_Tables_number 148
_symmetry_space_group_name_Hall '-R 3'
_cell_length_a 12.3254
_cell_length_b 12.3254
_cell_length_c 15.8744
_cell_angle_alpha 90.00
_cell_angle_beta 90.00
_cell_angle_gamma 120.00
loop_
_atom_site_label
_atom_site_type_symbol
_atom_site_fract_x
_atom_site_fract_y
_atom_site_fract_z
Pm1 Pm 0.0000 0.0000 0.0000
Pm2 Pm 0.0565 0.1859 0.2968
Nd1 Nd 0.0350 0.4540 0.2143
Nd2 Nd 0.0559 0.5861 0.5838
Cd1 Cd 0.0000 0.0000 0.5000
# Fermi-level density of states in states/eV/cell: 98.85

It comes down to version two, which is 448 meV/atom more stable than the next structure.